[1]
AlSbSe2: optimized geometry, PBE-GGA.

Summary:
Polymorph energy (0 for the lowest one) = 352 meV/atom
Total magnetization = 0.00 μB per atom
Space group = I4/mmm, No. 139
Uncorrected formation energy = -140 meV per atom
Crystal system = tetragonal

Unit cell a=4.9663 b=4.9663 c=4.9663 alpha=110.11 beta=110.11 gamma=108.21
Closest atoms and distances in Å follow each position.
Atoms (fractional coordinates):
Al 0.0000 0.0000 0.0000  4 Se 2.84, 2 Sb 2.91
Sb 0.5000 0.5000 0.0000  4 Se 2.84, 2 Al 2.91
Se 0.0000 0.5000 0.5000  2 Sb 2.84, 2 Al 2.84, 2 Se 2.91
Se 0.5000 0.0000 0.5000  2 Sb 2.84, 2 Al 2.84, 2 Se 2.91



[2]
Ca2CoNi: optimized geometry, PBE-GGA.

Summary:
Polymorph energy (0 for the lowest one) = 422 meV/atom
Calculated formation energy = 455 meV/atom
Total magnetization = 0.26 μB per atom
Space group = F-43m, No. 216
Crystal system = cubic

Unit cell a=4.7466 b=4.7466 c=4.7466 alpha=60.00 beta=60.00 gamma=60.00
Closest atoms and distances in Å follow each position.
Atoms (fractional coordinates):
Ca 0.0000 0.0000 0.0000  4 Co 2.91, 4 Ca 2.91
Ca 0.2500 0.2500 0.2500  4 Ca 2.91, 4 Ni 2.91
Co 0.7500 0.7500 0.7500  4 Ni 2.91, 4 Ca 2.91
Ni 0.5000 0.5000 0.5000  4 Co 2.91, 4 Ca 2.91



[3]
Al2CdFe: optimized geometry, PBE-GGA.

Summary:
Calculated formation energy = 352 meV/atom
Total magnetization = 0.54 μB per atom
Space group = I-42d, No. 122
Crystal system = tetragonal

Unit cell a=9.3943 b=9.3943 c=9.3943 alpha=155.34 beta=155.34 gamma=35.15
Closest atoms and distances in Å follow each position.
Atoms (fractional coordinates):
Al 0.0880 0.6250 0.9630  2 Fe 2.60, 2 Al 2.63, 2 Cd 2.71
Al 0.3750 0.3380 0.4630  2 Fe 2.60, 2 Al 2.63, 2 Cd 2.71
Al 0.6620 0.1250 0.0370  2 Fe 2.60, 2 Al 2.63, 2 Cd 2.71
Al 0.8750 0.9120 0.5370  2 Fe 2.60, 2 Al 2.63, 2 Cd 2.71
Cd 0.2500 0.7500 0.5000  4 Al 2.71, 4 Fe 2.84
Cd 0.5000 0.5000 0.0000  4 Al 2.71, 4 Fe 2.84
Fe 0.0000 0.0000 0.0000  4 Al 2.60, 4 Cd 2.84
Fe 0.7500 0.2500 0.5000  4 Al 2.60, 4 Cd 2.84



[4]
Cu4TeW: optimized geometry, PBE-GGA.

Summary:
Total magnetization = 0.00 μB per atom
Space group = F-43m, No. 216
Uncorrected formation energy = 524 meV per atom
Crystal system = cubic

Unit cell a=4.9709 b=4.9709 c=4.9709 alpha=60.00 beta=60.00 gamma=60.00
Closest atoms and distances in Å follow each position.
Atoms (fractional coordinates):
Cu 0.3757 0.3757 0.3757  6 Cu 2.47-2.50
Cu 0.3757 0.3757 0.8728  6 Cu 2.47-2.50
Cu 0.3757 0.8728 0.3757  6 Cu 2.47-2.50
Cu 0.8728 0.3757 0.3757  6 Cu 2.47-2.50
Te 0.0000 0.0000 0.0000  12 Cu 2.92, 4 W 3.04
W 0.7500 0.7500 0.7500  12 Cu 2.91, 4 Te 3.04



[5]
ZnCd6Hg3: optimized geometry, PBE-GGA.

Summary:
Calculated formation energy = 43 meV/atom
Total magnetization = 0.00 μB per atom
Space group = P2_1/m, No. 11
Crystal system = monoclinic

Unit cell a=12.0706 b=3.2161 c=13.3246 alpha=90.00 beta=115.50 gamma=90.00
Closest atoms and distances in Å follow each position.
Atoms (fractional coordinates):
Zn 0.2198 0.2500 0.0700  8 Cd 2.88-3.10, 2 Zn 3.22
Zn 0.7802 0.7500 0.9300  8 Cd 2.88-3.10, 2 Zn 3.22
Cd 0.0014 0.7500 0.8980  3 Zn 2.88-3.10, 8 Cd 3.03-3.22
Cd 0.1666 0.2500 0.5920  6 Hg 3.01-3.15, 3 Cd 3.20-3.22
Cd 0.1756 0.2500 0.8357  1 Zn 2.93, 3 Hg 3.01-3.05, 5 Cd 3.03-3.22
Cd 0.2314 0.7500 0.2585  2 Zn 2.93, 3 Hg 3.00-3.22, 6 Cd 3.06-3.22
Cd 0.4036 0.7500 0.0434  2 Zn 2.88, 3 Hg 3.15-3.18, 2 Cd 3.22
Cd 0.4650 0.2500 0.3086  4 Hg 2.90-3.24, 4 Cd 3.06-3.22
Cd 0.5350 0.7500 0.6914  4 Hg 2.90-3.24, 4 Cd 3.06-3.22
Cd 0.5964 0.2500 0.9566  2 Zn 2.88, 3 Hg 3.15-3.18, 2 Cd 3.22
Cd 0.7686 0.2500 0.7415  2 Zn 2.93, 3 Hg 3.00-3.22, 6 Cd 3.06-3.22
Cd 0.8244 0.7500 0.1643  1 Zn 2.93, 3 Hg 3.01-3.05, 5 Cd 3.03-3.22
Cd 0.8334 0.7500 0.4080  6 Hg 3.01-3.15, 3 Cd 3.20-3.22
Cd 0.9986 0.2500 0.1020  3 Zn 2.88-3.10, 8 Cd 3.03-3.22
Hg 0.0628 0.7500 0.3712  5 Cd 3.00-3.10, 2 Hg 3.22
Hg 0.3527 0.2500 0.4900  6 Cd 3.09-3.24, 2 Hg 3.22
Hg 0.3646 0.7500 0.7916  8 Cd 2.90-3.18, 2 Hg 3.22
Hg 0.6354 0.2500 0.2084  8 Cd 2.90-3.18, 2 Hg 3.22
Hg 0.6473 0.7500 0.5100  6 Cd 3.09-3.24, 2 Hg 3.22
Hg 0.9372 0.2500 0.6288  5 Cd 3.00-3.10, 2 Hg 3.22



[6]
Ti2CrPd2: optimized geometry, PBE-GGA.

Summary:
Polymorph energy (0 for the lowest one) = 15 meV/atom
Calculated formation energy = -42 meV/atom
Total magnetization = 0.00 μB per atom
Space group = P4/mbm, No. 127
Crystal system = tetragonal

Unit cell a=7.3417 b=7.3417 c=2.9205 alpha=90.00 beta=90.00 gamma=90.00
Closest atoms and distances in Å follow each position.
Atoms (fractional coordinates):
Ti 0.1729 0.3271 0.0000  6 Pd 2.51-2.68
Ti 0.3271 0.8271 0.0000  6 Pd 2.51-2.68
Ti 0.6729 0.1729 0.0000  6 Pd 2.51-2.68
Ti 0.8271 0.6729 0.0000  6 Pd 2.51-2.68
Cr 0.0000 0.0000 0.5000  4 Pd 2.88, 2 Cr 2.92, 8 Ti 3.08
Cr 0.5000 0.5000 0.5000  4 Pd 2.88, 2 Cr 2.92, 8 Ti 3.08
Pd 0.1299 0.6299 0.5000  6 Ti 2.51-2.68, 1 Pd 2.70
Pd 0.3701 0.1299 0.5000  6 Ti 2.51-2.68, 1 Pd 2.70
Pd 0.6299 0.8701 0.5000  6 Ti 2.51-2.68, 1 Pd 2.70
Pd 0.8701 0.3701 0.5000  6 Ti 2.51-2.68, 1 Pd 2.70



[7]
Cd2AgPC: optimized geometry, PBE-GGA.

Summary:
Calculated formation energy = 1462 meV/atom
Total magnetization = 0.43 μB per atom
Space group = P4/mmm, No. 123
Crystal system = tetragonal

Unit cell a=5.1229 b=5.1229 c=4.7260 alpha=90.00 beta=90.00 gamma=90.00
Closest atoms and distances in Å follow each position.
Atoms (fractional coordinates):
Cd 0.0000 0.5000 0.0000  2 P 2.56
Cd 0.5000 0.0000 0.0000  2 P 2.56
Ag 0.0000 0.0000 0.5000  2 P 2.36
P 0.0000 0.0000 0.0000  2 Ag 2.36, 4 Cd 2.56
C 0.5000 0.5000 0.5000  8 Cd 3.48, 4 Ag 3.62



[8]
LaZnCr: optimized geometry, PBE-GGA.

Summary:
Polymorph energy (0 for the lowest one) = 234 meV/atom
Calculated formation energy = 384 meV/atom
Total magnetization = 1.31 μB per atom
Space group = F-43m, No. 216
Crystal system = cubic

Unit cell a=4.8035 b=4.8035 c=4.8035 alpha=60.00 beta=60.00 gamma=60.00
Closest atoms and distances in Å follow each position.
Atoms (fractional coordinates):
La 0.0000 0.0000 0.0000  4 Zn 2.94
Zn 0.7500 0.7500 0.7500  4 La 2.94, 4 Cr 2.94
Cr 0.5000 0.5000 0.5000  4 Zn 2.94



[9]
Tl6HgTe: optimized geometry, PBE-GGA.

Summary:
Total magnetization = 0.00 μB per atom
Space group = Cmmm, No. 65
Uncorrected formation energy = -79 meV per atom
Crystal system = orthorhombic

Unit cell a=6.9665 b=6.9665 c=5.1368 alpha=90.00 beta=90.00 gamma=92.70
Closest atoms and distances in Å follow each position.
Atoms (fractional coordinates):
Tl 0.0000 0.5000 0.5000  2 Hg 3.48, 2 Te 3.48, 8 Tl 3.53-3.61
Tl 0.2254 0.7746 0.0000  2 Te 3.43, 8 Tl 3.50-3.53, 2 Hg 3.78
Tl 0.2763 0.2763 0.0000  2 Hg 3.35, 8 Tl 3.50-3.61, 2 Te 3.70
Tl 0.5000 0.0000 0.5000  2 Hg 3.48, 2 Te 3.48, 8 Tl 3.53-3.61
Tl 0.7237 0.7237 0.0000  2 Hg 3.35, 8 Tl 3.50-3.61, 2 Te 3.70
Tl 0.7746 0.2254 0.0000  2 Te 3.43, 8 Tl 3.50-3.53, 2 Hg 3.78
Hg 0.5000 0.5000 0.5000  8 Tl 3.35-3.48
Te 0.0000 0.0000 0.5000  12 Tl 3.43-3.70



[10]
ScTlBr2: optimized geometry, PBE-GGA.

Summary:
Polymorph energy (0 for the lowest one) = 372 meV/atom
Total magnetization = 0.00 μB per atom
Space group = R-3m, No. 166
Uncorrected formation energy = -665 meV per atom
Crystal system = trigonal

Unit cell a=10.3917 b=10.3917 c=10.3917 alpha=21.47 beta=21.47 gamma=21.47
Closest atoms and distances in Å follow each position.
Atoms (fractional coordinates):
Sc 0.0000 0.0000 0.0000  2 Br 2.54
Tl 0.5000 0.5000 0.5000  6 Br 3.38
Br 0.0835 0.0835 0.0835  1 Sc 2.54
Br 0.9165 0.9165 0.9165  1 Sc 2.54



[11]
Tc2MoOsPb: optimized geometry, PBE-GGA.

Summary:
Calculated formation energy = 3153 meV/atom
Total magnetization = 0.00 μB per atom
Space group = P4/mmm, No. 123
Crystal system = tetragonal

Unit cell a=4.8069 b=4.8069 c=4.9009 alpha=90.00 beta=90.00 gamma=90.00
Closest atoms and distances in Å follow each position.
Atoms (fractional coordinates):
Tc 0.0000 0.5000 0.0000  2 Pb 2.40
Tc 0.5000 0.0000 0.0000  2 Pb 2.40
Mo 0.0000 0.0000 0.5000  2 Pb 2.45
Os 0.5000 0.5000 0.5000  4 Mo 3.40, 8 Tc 3.43
Pb 0.0000 0.0000 0.0000  4 Tc 2.40, 2 Mo 2.45



[12]
AcTmS4: optimized geometry, PBE-GGA.

Summary:
Total magnetization = 0.00 μB per atom
Space group = C2/c, No. 15
Uncorrected formation energy = -1556 meV per atom
Crystal system = monoclinic

Unit cell a=7.3598 b=7.3598 c=7.0874 alpha=114.39 beta=114.39 gamma=96.29
Closest atoms and distances in Å follow each position.
Atoms (fractional coordinates):
Ac 0.1291 0.8709 0.7500  8 S 2.99-3.09
Ac 0.8709 0.1291 0.2500  8 S 2.99-3.09
Tm 0.4863 0.5137 0.2500  8 S 2.75-2.99
Tm 0.5137 0.4863 0.7500  8 S 2.75-2.99
S 0.1698 0.3038 0.7758  2 Tm 2.75-2.84, 2 S 2.77-2.94, 1 Ac 3.01
S 0.1697 0.5184 0.3623  2 Tm 2.76-2.99, 2 S 2.77-2.94, 2 Ac 2.99-3.05
S 0.3038 0.1698 0.2758  2 Tm 2.75-2.84, 2 S 2.77-2.94, 1 Ac 3.01
S 0.4816 0.8303 0.1377  2 Tm 2.76-2.99, 2 S 2.77-2.94, 2 Ac 2.99-3.05
S 0.5184 0.1697 0.8623  2 Tm 2.76-2.99, 2 S 2.77-2.94, 2 Ac 2.99-3.05
S 0.6962 0.8302 0.7242  2 Tm 2.75-2.84, 2 S 2.77-2.94, 1 Ac 3.01
S 0.8303 0.4816 0.6377  2 Tm 2.76-2.99, 2 S 2.77-2.94, 2 Ac 2.99-3.05
S 0.8302 0.6962 0.2242  2 Tm 2.75-2.84, 2 S 2.77-2.94, 1 Ac 3.01